Entry 1:
This record from Alexandria describes ZrOsSe2 after structural relaxation. The functional is PBE-GGA.

Cell: 8.846 8.846 8.846 Å, 21.03 21.03 21.03°
Atoms (fractional coordinates):
Zr 0.000 0.000 0.000
Os 0.500 0.500 0.500
Se 0.408 0.408 0.408
Se 0.592 0.592 0.592

Raw formation energy (eV per atom): -0.0288
Distance to the lowest polymorph of the same formula (meV/atom): 501
Space-group type: No. 166
Spin magnetization (μB/atom): 0.0000
Density of states at the Fermi level (states/eV/f.u.): 2.18

Entry 2:
This record from Alexandria describes CrFeGe2 after structural relaxation. The functional is PBE-GGA.

Cell: 7.899 7.899 7.899 Å, 20.69 20.69 20.69°
Atoms (fractional coordinates):
Cr 0.000 0.000 0.000
Fe 0.500 0.500 0.500
Ge 0.248 0.248 0.248
Ge 0.752 0.752 0.752

ΔE_f (meV per atom): 166.8
Distance to the lowest polymorph of the same formula (meV/atom): 206
Space-group type: No. 166
Spin magnetization (μB/atom): 0.7021
Density of states at the Fermi level (states/eV/f.u.): 3.05

Entry 3:
This record from Alexandria describes Y3SeO7 after structural relaxation. The functional is PBE-GGA.

Cell: 6.449 6.449 7.456 Å, 90.00 90.00 108.47°
Atoms (fractional coordinates):
Y 0.033 0.498 0.255
Y 0.037 0.037 0.000
Y 0.498 0.033 0.745
Y 0.502 0.967 0.245
Y 0.963 0.963 0.500
Y 0.967 0.502 0.755
Se 0.493 0.493 0.500
Se 0.507 0.507 0.000
O 0.130 0.870 0.750
O 0.139 0.861 0.250
O 0.171 0.423 0.979
O 0.199 0.446 0.532
O 0.423 0.171 0.021
O 0.443 0.557 0.250
O 0.446 0.199 0.468
O 0.554 0.801 0.968
O 0.557 0.443 0.750
O 0.577 0.829 0.521
O 0.801 0.554 0.032
O 0.829 0.577 0.479
O 0.861 0.139 0.750
O 0.870 0.130 0.250

Raw formation energy (eV per atom): -2.6043
Space-group type: No. 20
Spin magnetization (μB/atom): 0.0000
Density of states at the Fermi level (states/eV/f.u.): 2.54

Entry 4:
This record from Alexandria describes PbW2Br after structural relaxation. The functional is PBE-GGA.

Cell: 4.726 4.726 4.726 Å, 60.00 60.00 60.00°
Atoms (fractional coordinates):
Pb 0.000 0.000 0.000
W 0.250 0.250 0.250
W 0.750 0.750 0.750
Br 0.500 0.500 0.500

Raw formation energy (eV per atom): 1.5207
Distance to the lowest polymorph of the same formula (meV/atom): 1164
Space-group type: No. 225
Spin magnetization (μB/atom): 0.0001
Density of states at the Fermi level (states/eV/f.u.): 6.65

Entry 5:
This record from Alexandria describes CsSc2Ni after structural relaxation. The functional is PBE-GGA.

Cell: 5.060 5.060 5.060 Å, 60.00 60.00 60.00°
Atoms (fractional coordinates):
Cs 0.000 0.000 0.000
Sc 0.250 0.250 0.250
Sc 0.750 0.750 0.750
Ni 0.500 0.500 0.500

ΔE_f (meV per atom): 745.1
Distance to the lowest polymorph of the same formula (meV/atom): 566
Space-group type: No. 225
Spin magnetization (μB/atom): 0.0000
Density of states at the Fermi level (states/eV/f.u.): 5.19

Entry 6:
This record from Alexandria describes FeCuRuW after structural relaxation. The functional is PBE-GGA.

Cell: 4.222 4.222 4.222 Å, 60.00 60.00 60.00°
Atoms (fractional coordinates):
Fe 0.000 0.000 0.000
Cu 0.250 0.250 0.250
Ru 0.500 0.500 0.500
W 0.750 0.750 0.750

ΔE_f (meV per atom): 157.1
Space-group type: No. 216
Spin magnetization (μB/atom): 0.2126
Density of states at the Fermi level (states/eV/f.u.): 3.26